A plane-wave DFT calculation with PBE was carried out for crystalline Ho2MgGe4O12 at its relaxed geometry.

Output
Space group ... P-1, No. 2
Raw total energy ... -6.996 eV/atom

a = 4.887 Å, b = 7.050 Å, c = 7.874 Å
α = 66.81°, β = 88.23°, γ = 80.02°
Positions (direct):
Ho 0.053 0.267 0.459
Ho 0.947 0.733 0.541
Mg 0.000 0.500 0.000
Ge 0.418 0.868 0.793
Ge 0.463 0.660 0.221
Ge 0.537 0.340 0.779
Ge 0.582 0.132 0.207
O 0.227 0.568 0.392
O 0.230 0.923 0.590
O 0.248 0.515 0.791
O 0.251 0.270 0.196
O 0.252 0.763 0.009
O 0.394 0.145 0.738
O 0.606 0.855 0.262
O 0.748 0.237 0.991
O 0.749 0.730 0.804
O 0.752 0.485 0.209
O 0.770 0.077 0.410
O 0.773 0.432 0.608